Material: MnBePIrF
Method: DFT, GGA+U
State: optimized geometry

For the total magnetization, the calculation gives 0.9141 μB/atom. Its calculated volume is 154.4 Å³/cell. Its energy is -62.96 eV/cell.

Cell lengths 13.048, 2.965, 4.171 Å; angles 90.00, 106.92, 90.00 degrees
Space group Cm (No. 8)
One atom of each set of equivalent atoms:
Mn1 0.000 0.000 0.000 [2 per cell]
Be1 0.258 0.500 0.125 [2 per cell]
P1 0.315 0.000 0.813 [2 per cell]
Ir1 0.395 0.000 0.395 [2 per cell]
F1 0.139 0.500 0.108 [2 per cell]